Entry 1:
Density functional theory data (GGA-PBE) for crystalline Ac2Pm2Y7 at its relaxed geometry.

a b c (Å): 3.746 10.201 11.971
angles (deg): 66.44 98.99 111.53
Element x y z (fractional)
Y 0.642 0.596 0.092
Pm 0.609 0.239 0.739
Ac 0.816 0.216 0.200
Y 0.371 0.574 0.593
Y 0.880 0.101 0.559
Ac 0.184 0.784 0.800
Pm 0.391 0.761 0.261
Y 0.358 0.404 0.908
Y 0.629 0.426 0.407
Y 0.000 0.000 0.000
Y 0.120 0.899 0.441

crystal system: monoclinic
spin magnetization: 0.0 μB/f.u.
density: 5.82 g cm⁻³
energy of formation from the pure elements: 91 meV per atom
ΔE to the lowest computed polymorph: 0.0 meV/atom

Entry 2:
Density functional theory data (GGA-PBE) for crystalline TbErCdAu at its relaxed geometry.

a b c (Å): 3.670 3.670 7.279
angles (deg): 90.00 90.00 90.00
Element x y z (fractional)
Cd 0.500 0.500 0.113
Au 0.500 0.500 0.599
Tb 0.000 0.000 0.845
Er 0.000 0.000 0.371

crystal system: tetragonal
spin magnetization: 0.0 μB/f.u.
density: 10.76 g cm⁻³
energy of formation from the pure elements: -592 meV per atom
ΔE to the lowest computed polymorph: 0.0 meV/atom

Entry 3:
Density functional theory data (GGA-PBE) for crystalline TaSn2Ru at its relaxed geometry.

a b c (Å): 4.810 4.810 4.810
angles (deg): 60.00 60.00 60.00
Element x y z (fractional)
Sn 0.250 0.250 0.250
Sn 0.750 0.750 0.750
Ta 0.500 0.500 0.500
Ru 0.000 0.000 0.000

crystal system: cubic
spin magnetization: 1.9 μB/f.u.
density: 10.96 g cm⁻³
energy of formation from the pure elements: 295 meV per atom